## Li2AcBeO4 (PBE)

Data for an optimized crystal structure of Li2AcBeO4.

Results
**E**: -6.235 eV/atom
**Crystal system**: tetragonal

a b c (Å): 5.1969 5.1969 6.6188
angles (deg): 90.00 90.00 90.00
Space group I-42m (No. 121)
Symmetry-distinct sites (fractional):
Li 0.0000 0.5000 0.2500 [4 per cell]
Ac 0.0000 0.0000 0.0000 [2 per cell]
Be 0.0000 0.0000 0.5000 [2 per cell]
O 0.1855 0.1855 0.6454 [8 per cell]